[1]
A relaxed structure of AsWAuC2, computed with PBE.

Results
Formation energy (meV per atom): 1558
Spin magnetization (μB/f.u.): 0.00
E (eV per atom): -6.308

Lattice parameters (Å, degrees): 3.9945 3.9945 5.4998 90.00 90.00 90.00
With the nearest neighbours (Å) after each atom.
Space group P4/mmm (No. 123)
Inequivalent atoms, fractional coordinates:
As 0.0000 0.0000 0.0000 (multiplicity 1)  4 Au 2.82
W 0.5000 0.5000 0.5000 (multiplicity 1)  4 C 2.00
Au 0.5000 0.5000 0.0000 (multiplicity 1)  2 W 2.75, 4 As 2.82
C 0.0000 0.5000 0.5000 (multiplicity 2)  2 W 2.00



[2]
A relaxed structure of Na2Zn2InPt5, computed with PBE.

Results
Formation energy (meV per atom): -405
Spin magnetization (μB/f.u.): 0.00
E (eV per atom): -4.217

Lattice parameters (Å, degrees): 9.3941 9.3941 3.9301 90.00 90.00 90.00
With the nearest neighbours (Å) after each atom.
Space group P4/mbm (No. 127)
Inequivalent atoms, fractional coordinates:
Na 0.1741 0.3259 0.0000 (multiplicity 4)  3 Zn 2.68-2.84
Zn 0.1243 0.6243 0.0000 (multiplicity 4)  6 Pt 2.57-2.58, 3 Na 2.68-2.84
In 0.0000 0.0000 0.0000 (multiplicity 2)  8 Pt 2.84
Pt 0.0000 0.5000 0.5000 (multiplicity 2)  4 Zn 2.57, 4 Pt 2.83
Pt 0.0683 0.7933 0.5000 (multiplicity 8)  2 Zn 2.58, 1 Pt 2.83, 2 In 2.84



[3]
A relaxed structure of Ba2TmGaS5, computed with PBE.

Results
Spin magnetization (μB/f.u.): 0.00
E_form (uncorrected) (eV/atom): -1.751
E (eV per atom): -5.304

Lattice parameters (Å, degrees): 4.0382 18.3429 12.9875 90.00 90.00 90.00
With the nearest neighbours (Å) after each atom.
Space group Cmc2_1 (No. 36)
Inequivalent atoms, fractional coordinates:
Ba 0.0000 0.1203 0.0000 (multiplicity 4)  7 S 3.13-3.45
Ba 0.0000 0.1290 0.6393 (multiplicity 4)  7 S 3.15-3.52
Tm 0.0000 0.2055 0.3418 (multiplicity 4)  6 S 2.60-2.88
Ga 0.0000 0.4398 0.7454 (multiplicity 4)  4 S 2.24-2.40
S 0.0000 0.0486 0.3446 (multiplicity 4)  2 Ga 2.40
S 0.0000 0.2959 0.9777 (multiplicity 4)  2 Tm 2.68
S 0.0000 0.3164 0.6960 (multiplicity 4)  1 Ga 2.35
S 0.0000 0.3465 0.3223 (multiplicity 4)  1 Tm 2.60
S 0.0000 0.5004 0.0952 (multiplicity 4)  1 Ga 2.24



[4]
A relaxed structure of LiScOs2, computed with PBE.

Results
Formation energy (meV per atom): 27
Spin magnetization (μB/f.u.): 0.00
Distance to the lowest polymorph of the same formula (meV per atom): 60
E (eV per atom): -7.649

Lattice parameters (Å, degrees): 2.7760 4.4226 4.8981 90.00 95.99 90.00
With the nearest neighbours (Å) after each atom.
Space group P2/m (No. 10)
Inequivalent atoms, fractional coordinates:
Li 0.0000 0.0000 0.0000 (multiplicity 1)  4 Os 2.59, 2 Sc 2.69, 2 Li 2.78
Sc 0.5000 0.0000 0.5000 (multiplicity 1)  4 Li 2.69-2.94, 4 Os 2.72, 2 Sc 2.78
Os 0.2132 0.5000 0.7646 (multiplicity 2)  2 Li 2.59, 5 Os 2.66-2.78, 2 Sc 2.72



[5]
A relaxed structure of Cu3HgSe4, computed with PBE.

Results
Spin magnetization (μB/f.u.): 0.00
E_form (uncorrected) (eV/atom): -0.127
E (eV per atom): -3.443

Lattice parameters (Å, degrees): 7.9434 6.8646 6.7176 90.00 90.00 90.00
With the nearest neighbours (Å) after each atom.
Space group Pmn2_1 (No. 31)
Inequivalent atoms, fractional coordinates:
Cu 0.0000 0.1768 0.0000 (multiplicity 2)  4 Se 2.38-2.39
Cu 0.2494 0.3341 0.5007 (multiplicity 4)  4 Se 2.38-2.41
Hg 0.0000 0.8388 0.4904 (multiplicity 2)  4 Se 2.68-2.72
Se 0.0000 0.2031 0.6455 (multiplicity 2)  3 Cu 2.38-2.39
Se 0.0000 0.8410 0.0921 (multiplicity 2)  3 Cu 2.39-2.41
Se 0.2287 0.3488 0.1480 (multiplicity 4)  3 Cu 2.38-2.40



[6]
A relaxed structure of Fe2TcRh, computed with PBE.

Results
Formation energy (meV per atom): 204
Spin magnetization (μB/f.u.): 5.77
Distance to the lowest polymorph of the same formula (meV per atom): 187
E (eV per atom): -8.456

Lattice parameters (Å, degrees): 5.9885 5.9885 5.9885 90.00 90.00 90.00
With the nearest neighbours (Å) after each atom.
Space group F-43m (No. 216)
Inequivalent atoms, fractional coordinates:
Fe 0.0000 0.0000 0.0000 (multiplicity 4)  4 Fe 2.59, 4 Tc 2.59
Fe 0.2500 0.2500 0.2500 (multiplicity 4)  4 Fe 2.59, 4 Rh 2.59
Tc 0.2500 0.2500 0.7500 (multiplicity 4)  4 Fe 2.59, 4 Rh 2.59
Rh 0.0000 0.0000 0.5000 (multiplicity 4)  4 Fe 2.59, 4 Tc 2.59



[7]
A relaxed structure of Ta4MnCo, computed with PBE.

Results
Formation energy (meV per atom): -125
Spin magnetization (μB/f.u.): 0.60
Distance to the lowest polymorph of the same formula (meV per atom): 0
E (eV per atom): -10.740

Lattice parameters (Å, degrees): 6.1091 6.1091 5.0984 90.00 90.00 90.00
With the nearest neighbours (Å) after each atom.
Space group I422 (No. 97)
Inequivalent atoms, fractional coordinates:
Ta 0.1636 0.3364 0.2500 (multiplicity 8)  2 Co 2.62, 2 Mn 2.62, 1 Ta 2.83
Mn 0.0000 0.0000 0.0000 (multiplicity 2)  2 Co 2.55, 8 Ta 2.62
Co 0.0000 0.0000 0.5000 (multiplicity 2)  2 Mn 2.55, 8 Ta 2.62



[8]
A relaxed structure of LaNi2Mo, computed with PBE.

Results
Formation energy (meV per atom): 499
Spin magnetization (μB/f.u.): 0.74
Distance to the lowest polymorph of the same formula (meV per atom): 558
E (eV per atom): -6.331

Lattice parameters (Å, degrees): 3.0286 3.0286 26.4027 90.00 90.00 120.00
With the nearest neighbours (Å) after each atom.
Space group R-3m (No. 166, hexagonal axes)
Inequivalent atoms, fractional coordinates:
La 0.0000 0.0000 0.0000 (multiplicity 3)  6 La 3.03, 6 Ni 3.13
Ni 0.0000 0.0000 0.2351 (multiplicity 6)  3 Mo 2.51
Mo 0.0000 0.0000 0.5000 (multiplicity 3)  6 Ni 2.51